[1]
The following is a DFT calculation (PBE-GGA) of a relaxed RePBr2 crystal.

Structure (POSCAR):
```
RePBr2
1.0
4.6550 0.0000 0.0000
0.0000 4.6550 0.0000
0.0000 0.0000 3.2749
Br P Re
2 1 1
direct
0.0000 0.0000 0.0000
0.5000 0.5000 0.0000
0.5000 0.0000 0.5000
0.0000 0.5000 0.5000
```

E_form (uncorrected), kJ/mol of atoms: 146
Calculated volume, Å³/atom: 17.74
Magnetization, μB per formula unit: 0.00

=====

[2]
The following is a DFT calculation (PBE-GGA) of a relaxed SiAs2P crystal.

Structure (POSCAR):
```
SiAs2P
1.0
6.9833 -0.0615 -0.0371
6.0672 3.4581 -0.0371
6.0672 1.5791 3.0767
As P Si
2 1 1
direct
0.0186 0.0186 0.0186
0.2344 0.2344 0.2344
0.5024 0.5024 0.5024
0.7447 0.7447 0.7447
```

E_form (uncorrected), kJ/mol of atoms: 10
Calculated volume, Å³/atom: 19.07
Magnetization, μB per formula unit: 0.00

=====

[3]
The following is a DFT calculation (PBE-GGA) of a relaxed LiCe3Ho3S8 crystal.

Structure (POSCAR):
```
LiCe3Ho3S8
1.0
-0.5269 2.3689 -7.4407
-6.4926 -1.6025 4.0657
4.2241 6.4405 1.7513
Li Ce Ho S
1 3 3 8
direct
0.0000 0.0000 0.5000
0.0000 0.0000 0.0000
0.0000 0.5000 0.0000
0.5000 0.5000 0.0000
0.5000 0.0000 0.5000
0.5000 0.5000 0.5000
0.0000 0.5000 0.5000
0.2544 0.5088 0.2631
0.7456 0.4912 0.7369
0.7555 0.5111 0.2628
0.2445 0.4889 0.7372
0.7556 0.0072 0.2628
0.2444 0.9928 0.7372
0.2516 0.0073 0.2629
0.7484 0.9927 0.7371
```

E_form (uncorrected), kJ/mol of atoms: -189
Calculated volume, Å³/atom: 22.91
Magnetization, μB per formula unit: 2.61

=====

[4]
The following is a DFT calculation (PBE-GGA) of a relaxed La6CePr crystal.

Structure (POSCAR):
```
La6CePr
1.0
-2.7154 -4.3648 0.8173
3.7354 -2.7632 -2.3462
4.8111 -1.2771 9.1640
La Ce Pr
6 1 1
direct
0.5000 0.5000 0.0000
0.5000 0.5000 0.5000
0.5000 0.0000 0.2581
0.5000 0.0000 0.7419
0.0000 0.5000 0.2581
0.0000 0.5000 0.7419
0.0000 0.0000 0.5000
0.0000 0.0000 0.0000
```

Calculated volume, Å³/atom: 35.32
ΔE_f, meV/atom: 30
Magnetization, μB per formula unit: 1.06